Record 1
Material: Ac2SbW
Method: DFT, PBE-GGA
State: optimized geometry

Results
For the final energy, the calculation gives -21.49 eV/cell. The calculation puts the uncorrected formation energy at 0.95 eV per atom.

Cell lengths 3.418, 3.418, 12.083 Å; angles 81.87, 81.87, 60.00 degrees
Fractional coordinates of all 4 atoms:
Ac1 0.916 0.916 0.252
Ac2 0.084 0.084 0.748
Sb1 0.500 0.500 0.500
W1 0.000 0.000 0.000


Record 2
Material: AcY2Sb
Method: DFT, PBE-GGA
State: optimized geometry

Results
For the final energy, the calculation gives -23.07 eV/cell. The calculation puts the uncorrected formation energy at -0.48 eV per atom.

Cell lengths 3.990, 3.990, 7.955 Å; angles 90.00, 90.00, 90.00 degrees
Fractional coordinates of all 4 atoms:
Ac1 0.500 0.500 0.500
Y1 0.000 0.000 0.203
Y2 0.000 0.000 0.797
Sb1 0.500 0.500 0.000


Density of states at the Fermi level across the listed records, respectively: 4.19, 5.96 states/eV/f.u..